Compound: LaAl2Zn2
Source: Alexandria
Functional: meta-GGA SCAN
Structure: single point on PBEsol structure

Cell lengths 4.3008, 4.3008, 6.1038 Å; angles 110.63, 110.63, 90.00 degrees
Sites, in units of the cell vectors:
Zn: 0.2500 0.7500 0.5000
Zn: 0.7500 0.2500 0.5000
Al: 0.3788 0.3788 0.7576
Al: 0.6212 0.6212 0.2424
La: 0.0000 0.0000 0.0000

Calculated values
Magnetization = 0.00 μB/f.u.


Compound: LaAlZn2
Source: Alexandria
Functional: meta-GGA SCAN
Structure: single point on PBEsol structure

Cell lengths 3.2223, 3.4499, 7.0681 Å; angles 90.00, 90.00, 90.00 degrees
Sites, in units of the cell vectors:
Zn: 0.0000 0.0000 0.8037
Zn: 0.0000 0.0000 0.1963
Al: 0.5000 0.5000 0.0000
La: 0.5000 0.5000 0.5000

Calculated values
Magnetization = 0.00 μB/f.u.


Compound: LaAlZn
Source: Alexandria
Functional: meta-GGA SCAN
Structure: single point on PBEsol structure

Cell lengths 3.7994, 4.5700, 4.5700 Å; angles 120.00, 90.00, 90.00 degrees
Sites, in units of the cell vectors:
Zn: 0.5000 0.6667 0.3333
Al: 0.5000 0.0000 0.0000
La: 0.0000 0.3333 0.6667

Calculated values
Magnetization = 0.46 μB/f.u.


Compound: LaAlZn
Source: Alexandria
Functional: meta-GGA SCAN
Structure: single point on PBEsol structure

Cell lengths 4.6002, 5.7703, 5.9234 Å; angles 81.43, 67.15, 66.51 degrees
Sites, in units of the cell vectors:
Zn: 0.8380 0.0997 0.2242
Zn: 0.1620 0.9003 0.7758
Al: 0.1633 0.2722 0.4013
Al: 0.8367 0.7278 0.5987
La: 0.5483 0.7049 0.1986
La: 0.4517 0.2951 0.8014

Calculated values
Magnetization = 0.00 μB/f.u.


Compound: LaAlZn2
Source: Alexandria
Functional: meta-GGA SCAN
Structure: single point on PBEsol structure

Cell lengths 4.2499, 4.2499, 5.9191 Å; angles 68.96, 68.96, 60.00 degrees
Sites, in units of the cell vectors:
Zn: 0.0439 0.0439 0.8682
Zn: 0.7440 0.7440 0.7680
Al: 0.4587 0.4587 0.6240
La: 0.2517 0.2517 0.2449

Calculated values
Magnetization = 0.00 μB/f.u.


Compound: LaZrAl2
Source: Alexandria
Functional: meta-GGA SCAN
Structure: single point on PBEsol structure

Cell lengths 4.5871, 5.2770, 4.5871 Å; angles 64.24, 90.00, 115.76 degrees
Sites, in units of the cell vectors:
Al: 0.2500 0.5000 0.2500
Al: 0.7500 0.5000 0.7500
Zr: 0.5000 0.0000 0.5000
La: 0.0000 0.0000 0.0000

Calculated values
Energy relative to the lowest polymorph listed for this composition = 0.131 eV/atom
Magnetization = 0.00 μB/f.u.


Compound: LaZrAl2
Source: Alexandria
Functional: meta-GGA SCAN
Structure: single point on PBEsol structure

Cell lengths 3.3407, 5.2864, 5.7335 Å; angles 102.86, 90.00, 108.42 degrees
Sites, in units of the cell vectors:
Al: 0.7623 0.5247 0.8179
Al: 0.2377 0.4753 0.1821
Zr: 0.5000 0.0000 0.0000
La: 0.0000 0.0000 0.5000

Calculated values
Energy relative to the lowest polymorph listed for this composition = 0.265 eV/atom
Magnetization = 0.00 μB/f.u.


Compound: LaZr2Al2
Source: Alexandria
Functional: meta-GGA SCAN
Structure: single point on PBEsol structure

Cell lengths 4.4342, 4.4342, 6.8358 Å; angles 108.93, 108.93, 90.00 degrees
Sites, in units of the cell vectors:
Al: 0.2500 0.7500 0.5000
Al: 0.7500 0.2500 0.5000
Zr: 0.3857 0.3857 0.7714
Zr: 0.6143 0.6143 0.2286
La: 0.0000 0.0000 0.0000

Calculated values
Magnetization = 0.00 μB/f.u.


Compound: LaZrAl2
Source: Alexandria
Functional: meta-GGA SCAN
Structure: single point on PBEsol structure

Cell lengths 3.1552, 4.1577, 6.7561 Å; angles 90.00, 90.00, 90.00 degrees
Sites, in units of the cell vectors:
Al: 0.0000 0.0000 0.7037
Al: 0.0000 0.0000 0.2963
Zr: 0.5000 0.5000 0.5000
La: 0.5000 0.5000 0.0000

Calculated values
Energy relative to the lowest polymorph listed for this composition = 0.000 eV/atom
Magnetization = 0.60 μB/f.u.


Compound: LaZrAl4
Source: Alexandria
Functional: meta-GGA SCAN
Structure: single point on PBEsol structure

Cell lengths 5.5059, 5.5059, 5.5059 Å; angles 60.00, 60.00, 60.00 degrees
Sites, in units of the cell vectors:
Al: 0.3748 0.3748 0.3748
Al: 0.3748 0.3748 0.8757
Al: 0.8757 0.3748 0.3748
Al: 0.3748 0.8757 0.3748
Zr: 0.0000 0.0000 0.0000
La: 0.7500 0.7500 0.7500

Calculated values
Magnetization = 0.13 μB/f.u.


Compound: Li5Al4
Source: Alexandria
Functional: meta-GGA SCAN
Structure: single point on PBEsol structure

Cell lengths 3.9427, 6.4505, 6.4505 Å; angles 84.64, 72.20, 72.20 degrees
Sites, in units of the cell vectors:
Al: 0.0000 0.6605 0.3395
Al: 0.0000 0.3395 0.6605
Al: 0.6605 0.3395 0.3395
Al: 0.3395 0.6605 0.6605
Li: 0.0000 0.0000 0.0000
Li: 0.6729 0.0000 0.6543
Li: 0.3271 0.0000 0.3457
Li: 0.6729 0.6543 0.0000
Li: 0.3271 0.3457 0.0000

Calculated values
Magnetization = 0.07 μB/f.u.


Compound: Li5Al24
Source: Alexandria
Functional: meta-GGA SCAN
Structure: single point on PBEsol structure

Cell lengths 8.6009, 8.6009, 8.6009 Å; angles 109.47, 109.47, 109.47 degrees
Sites, in units of the cell vectors:
Al: 0.6188 0.8116 0.6188
Al: 0.8072 0.1884 0.8072
Al: 0.1928 0.0000 0.3812
Al: 0.3812 0.0000 0.1928
Al: 0.8116 0.6188 0.6188
Al: 0.1884 0.8072 0.8072
Al: 0.0000 0.3812 0.1928
Al: 0.0000 0.1928 0.3812
Al: 0.6188 0.6188 0.8116
Al: 0.8072 0.8072 0.1884
Al: 0.3812 0.1928 0.0000
Al: 0.1928 0.3812 0.0000
Al: 0.5931 0.2790 0.5931
Al: 0.3141 0.7210 0.3141
Al: 0.6859 0.0000 0.4069
Al: 0.4069 0.0000 0.6859
Al: 0.2790 0.5931 0.5931
Al: 0.7210 0.3141 0.3141
Al: 0.0000 0.4069 0.6859
Al: 0.0000 0.6859 0.4069
Al: 0.5931 0.5931 0.2790
Al: 0.3141 0.3141 0.7210
Al: 0.4069 0.6859 0.0000
Al: 0.6859 0.4069 0.0000
Li: 0.3481 0.3481 0.3481
Li: 0.0000 0.6519 0.0000
Li: 0.0000 0.0000 0.6519
Li: 0.6519 0.0000 0.0000
Li: 0.0000 0.0000 0.0000

Calculated values
Magnetization = 0.38 μB/f.u.


no.,VASP energy (eV/cell)
1,-88.069
2,-78.792
3,-65.740
4,-131.760
5,-79.456
6,-90.331
7,-89.797
8,-119.648
9,-90.856
10,-107.466
11,-43.921
12,-198.596